(1)
# Ho4PdRu (PBE, relaxed)
# - energy of formation from the pure elements (meV per atom) = -427
# - total moment (μB per cell) = 0.00
# - E above lowest polymorph (eV per atom) = 0.044
data_Ho4PdRu
_chemical_formula_sum 'Ho4 Pd1 Ru1'
_cell_length_a 4.802
_cell_length_b 4.802
_cell_length_c 6.832
_cell_angle_alpha 90.00
_cell_angle_beta 90.00
_cell_angle_gamma 90.00
_space_group_name_H-M_alt 'P 1'
_space_group_IT_number 1
loop_
_space_group_symop_operation_xyz
'x,y,z'
loop_
_atom_site_label
_atom_site_fract_x
_atom_site_fract_y
_atom_site_fract_z
_atom_site_occupancy
Ho1 0.000 0.500 0.242 1
Ho2 0.000 0.500 0.758 1
Ho3 0.500 0.000 0.242 1
Ho4 0.500 0.000 0.758 1
Pd1 0.000 0.000 0.500 1
Ru1 0.500 0.500 0.000 1

***

(2)
# CeSi2Ag6 (PBE, relaxed)
# - total moment (μB per cell) = 0.65
# - formation energy from raw total energies (meV per atom) = -181
data_CeSi2Ag6
_chemical_formula_sum 'Ce1 Si2 Ag6'
_cell_length_a 4.177
_cell_length_b 4.177
_cell_length_c 9.621
_cell_angle_alpha 90.00
_cell_angle_beta 90.00
_cell_angle_gamma 90.00
_space_group_name_H-M_alt 'P 1'
_space_group_IT_number 1
loop_
_space_group_symop_operation_xyz
'x,y,z'
loop_
_atom_site_label
_atom_site_fract_x
_atom_site_fract_y
_atom_site_fract_z
_atom_site_occupancy
Ce1 0.000 0.000 0.000 1
Si1 0.500 0.500 0.119 1
Si2 0.500 0.500 0.881 1
Ag1 0.000 0.000 0.500 1
Ag2 0.000 0.500 0.282 1
Ag3 0.000 0.500 0.718 1
Ag4 0.500 0.000 0.282 1
Ag5 0.500 0.000 0.718 1
Ag6 0.500 0.500 0.500 1

***

(3)
# PuZnGa3Au (PBE, relaxed)
# - energy of formation from the pure elements (meV per atom) = -38
# - total moment (μB per cell) = 11.90
data_PuZnGa3Au
_chemical_formula_sum 'Pu2 Zn2 Ga6 Au2'
_cell_length_a 8.780
_cell_length_b 8.780
_cell_length_c 5.839
_cell_angle_alpha 90.00
_cell_angle_beta 90.00
_cell_angle_gamma 142.10
_space_group_name_H-M_alt 'P 1'
_space_group_IT_number 1
loop_
_space_group_symop_operation_xyz
'x,y,z'
loop_
_atom_site_label
_atom_site_fract_x
_atom_site_fract_y
_atom_site_fract_z
_atom_site_occupancy
Pu1 0.168 0.832 0.750 1
Pu2 0.832 0.168 0.250 1
Zn1 0.405 0.595 0.250 1
Zn2 0.595 0.405 0.750 1
Ga1 0.246 0.246 0.000 1
Ga2 0.246 0.246 0.500 1
Ga3 0.257 0.743 0.250 1
Ga4 0.743 0.257 0.750 1
Ga5 0.754 0.754 0.000 1
Ga6 0.754 0.754 0.500 1
Au1 0.106 0.894 0.250 1
Au2 0.894 0.106 0.750 1

***

(4)
# LiCa2GaAu2 (PBE, relaxed)
# - energy of formation from the pure elements (meV per atom) = -638
# - total moment (μB per cell) = 0.00
data_LiCa2GaAu2
_chemical_formula_sum 'Li2 Ca4 Ga2 Au4'
_cell_length_a 8.559
_cell_length_b 8.559
_cell_length_c 8.559
_cell_angle_alpha 138.60
_cell_angle_beta 60.06
_cell_angle_gamma 138.50
_space_group_name_H-M_alt 'P 1'
_space_group_IT_number 1
loop_
_space_group_symop_operation_xyz
'x,y,z'
loop_
_atom_site_label
_atom_site_fract_x
_atom_site_fract_y
_atom_site_fract_z
_atom_site_occupancy
Li1 0.250 0.250 0.000 1
Li2 0.750 0.750 0.000 1
Ca1 0.173 0.239 0.412 1
Ca2 0.327 0.739 0.066 1
Ca3 0.673 0.261 0.934 1
Ca4 0.827 0.761 0.588 1
Ga1 0.250 0.750 0.500 1
Ga2 0.750 0.250 0.500 1
Au1 0.115 0.742 0.857 1
Au2 0.385 0.242 0.627 1
Au3 0.615 0.758 0.373 1
Au4 0.885 0.258 0.143 1

***

(5)
# Hg4Sb2Br3 (PBE, relaxed)
# - total moment (μB per cell) = 0.00
# - formation energy from raw total energies (meV per atom) = -231
# - E above lowest polymorph (eV per atom) = 0.000
data_Hg4Sb2Br3
_chemical_formula_sum 'Hg8 Sb4 Br6'
_cell_length_a 8.737
_cell_length_b 8.911
_cell_length_c 10.679
_cell_angle_alpha 89.92
_cell_angle_beta 76.80
_cell_angle_gamma 68.23
_space_group_name_H-M_alt 'P 1'
_space_group_IT_number 1
loop_
_space_group_symop_operation_xyz
'x,y,z'
loop_
_atom_site_label
_atom_site_fract_x
_atom_site_fract_y
_atom_site_fract_z
_atom_site_occupancy
Hg1 0.061 0.403 0.210 1
Hg2 0.125 0.961 0.752 1
Hg3 0.335 0.913 0.289 1
Hg4 0.433 0.367 0.052 1
Hg5 0.567 0.633 0.948 1
Hg6 0.665 0.087 0.711 1
Hg7 0.875 0.039 0.248 1
Hg8 0.939 0.597 0.790 1
Sb1 0.016 0.132 0.420 1
Sb2 0.337 0.320 0.802 1
Sb3 0.663 0.680 0.198 1
Sb4 0.984 0.868 0.580 1
Br1 0.252 0.035 0.933 1
Br2 0.274 0.232 0.581 1
Br3 0.446 0.550 0.703 1
Br4 0.554 0.450 0.297 1
Br5 0.726 0.768 0.419 1
Br6 0.748 0.965 0.067 1

***

(6)
# CeAg3Sn3 (PBE, relaxed)
# - energy of formation from the pure elements (meV per atom) = 278
# - total moment (μB per cell) = 2.77
data_CeAg3Sn3
_chemical_formula_sum 'Ce2 Ag6 Sn6'
_cell_length_a 7.540
_cell_length_b 7.540
_cell_length_c 7.540
_cell_angle_alpha 90.00
_cell_angle_beta 90.00
_cell_angle_gamma 90.00
_space_group_name_H-M_alt 'P 1'
_space_group_IT_number 1
loop_
_space_group_symop_operation_xyz
'x,y,z'
loop_
_atom_site_label
_atom_site_fract_x
_atom_site_fract_y
_atom_site_fract_z
_atom_site_occupancy
Ce1 0.000 0.000 0.000 1
Ce2 0.500 0.500 0.500 1
Ag1 0.000 0.250 0.500 1
Ag2 0.000 0.750 0.500 1
Ag3 0.250 0.500 0.000 1
Ag4 0.500 0.000 0.250 1
Ag5 0.500 0.000 0.750 1
Ag6 0.750 0.500 0.000 1
Sn1 0.000 0.500 0.250 1
Sn2 0.000 0.500 0.750 1
Sn3 0.250 0.000 0.500 1
Sn4 0.500 0.250 0.000 1
Sn5 0.500 0.750 0.000 1
Sn6 0.750 0.000 0.500 1

***

(7)
# BS2I (PBE, relaxed)
# - total moment (μB per cell) = 0.00
# - formation energy from raw total energies (meV per atom) = 396
# - E above lowest polymorph (eV per atom) = 0.109
data_BS2I
_chemical_formula_sum 'B4 S8 I4'
_cell_length_a 6.420
_cell_length_b 6.420
_cell_length_c 7.499
_cell_angle_alpha 90.00
_cell_angle_beta 90.00
_cell_angle_gamma 90.00
_space_group_name_H-M_alt 'P 1'
_space_group_IT_number 1
loop_
_space_group_symop_operation_xyz
'x,y,z'
loop_
_atom_site_label
_atom_site_fract_x
_atom_site_fract_y
_atom_site_fract_z
_atom_site_occupancy
B1 0.000 0.000 0.000 1
B2 0.000 0.500 0.250 1
B3 0.500 0.000 0.750 1
B4 0.500 0.500 0.500 1
S1 0.106 0.750 0.125 1
S2 0.250 0.106 0.875 1
S3 0.250 0.394 0.375 1
S4 0.394 0.750 0.625 1
S5 0.606 0.250 0.625 1
S6 0.750 0.606 0.375 1
S7 0.750 0.894 0.875 1
S8 0.894 0.250 0.125 1
I1 0.000 0.000 0.500 1
I2 0.000 0.500 0.750 1
I3 0.500 0.000 0.250 1
I4 0.500 0.500 0.000 1

***

(8)
# Pr2Cu3SiNi12 (PBE, relaxed)
# - total moment (μB per cell) = 0.00
# - formation energy from raw total energies (meV per atom) = 133
data_Pr2Cu3SiNi12
_chemical_formula_sum 'Pr2 Cu3 Si1 Ni12'
_cell_length_a 9.078
_cell_length_b 9.078
_cell_length_c 9.078
_cell_angle_alpha 38.79
_cell_angle_beta 38.79
_cell_angle_gamma 38.79
_space_group_name_H-M_alt 'P 1'
_space_group_IT_number 1
loop_
_space_group_symop_operation_xyz
'x,y,z'
loop_
_atom_site_label
_atom_site_fract_x
_atom_site_fract_y
_atom_site_fract_z
_atom_site_occupancy
Pr1 0.154 0.154 0.154 1
Pr2 0.846 0.846 0.846 1
Cu1 0.000 0.500 0.500 1
Cu2 0.500 0.000 0.500 1
Cu3 0.500 0.500 0.000 1
Si1 0.500 0.500 0.500 1
Ni1 0.079 0.079 0.689 1
Ni2 0.079 0.689 0.079 1
Ni3 0.155 0.567 0.567 1
Ni4 0.311 0.921 0.921 1
Ni5 0.433 0.433 0.845 1
Ni6 0.433 0.845 0.433 1
Ni7 0.567 0.155 0.567 1
Ni8 0.567 0.567 0.155 1
Ni9 0.689 0.079 0.079 1
Ni10 0.845 0.433 0.433 1
Ni11 0.921 0.311 0.921 1
Ni12 0.921 0.921 0.311 1

***

Please write out number 8 again, unchanged.
# Pr2Cu3SiNi12 (PBE, relaxed)
# - total moment (μB per cell) = 0.00
# - formation energy from raw total energies (meV per atom) = 133
data_Pr2Cu3SiNi12
_chemical_formula_sum 'Pr2 Cu3 Si1 Ni12'
_cell_length_a 9.078
_cell_length_b 9.078
_cell_length_c 9.078
_cell_angle_alpha 38.79
_cell_angle_beta 38.79
_cell_angle_gamma 38.79
_space_group_name_H-M_alt 'P 1'
_space_group_IT_number 1
loop_
_space_group_symop_operation_xyz
'x,y,z'
loop_
_atom_site_label
_atom_site_fract_x
_atom_site_fract_y
_atom_site_fract_z
_atom_site_occupancy
Pr1 0.154 0.154 0.154 1
Pr2 0.846 0.846 0.846 1
Cu1 0.000 0.500 0.500 1
Cu2 0.500 0.000 0.500 1
Cu3 0.500 0.500 0.000 1
Si1 0.500 0.500 0.500 1
Ni1 0.079 0.079 0.689 1
Ni2 0.079 0.689 0.079 1
Ni3 0.155 0.567 0.567 1
Ni4 0.311 0.921 0.921 1
Ni5 0.433 0.433 0.845 1
Ni6 0.433 0.845 0.433 1
Ni7 0.567 0.155 0.567 1
Ni8 0.567 0.567 0.155 1
Ni9 0.689 0.079 0.079 1
Ni10 0.845 0.433 0.433 1
Ni11 0.921 0.311 0.921 1
Ni12 0.921 0.921 0.311 1

***

> The highest total moment belongs to which entry?

PuZnGa3Au

***

> total moment of number 2 (CeSi2Ag6)?

0.65 μB per cell